(1)
16
Lattice="3.3007 0.0000 0.0000 0.0000 19.8782 0.0000 0.0000 0.0000 3.8854" Properties=species:S:1:pos:R:3 comment="AlCo2Pb (GGA-PBE, optimized geometry)" e_tot_ev_per_fu=-21.55 e_above_lowest_polymorph_mev_per_atom=65 density_g_cm3=9.17 pbc="T T T"
Pb 1.6504 16.1113 2.9141
Co 0.0000 10.8213 2.9141
Co 1.6504 18.9961 0.9714
Co 0.0000 17.2365 0.9714
Al 1.6504 8.9026 2.9141
Al 0.0000 1.0366 0.9714
Al 1.6504 10.9757 0.9714
Co 0.0000 9.0570 0.9714
Pb 1.6504 3.7669 0.9714
Pb 0.0000 6.1722 2.9141
Co 1.6504 0.8821 2.9141
Co 1.6504 12.5809 2.9141
Co 1.6504 7.2974 0.9714
Al 0.0000 18.8417 2.9141
Co 0.0000 2.6417 2.9141
Pb 0.0000 13.7060 0.9714



(2)
18
Lattice="5.5847 0.0000 0.0000 -2.7923 9.8346 0.0000 0.0000 0.0000 10.4116" Properties=species:S:1:pos:R:3 comment="PmDy5Y2Sc (GGA-PBE, optimized geometry)" e_tot_ev_per_fu=-45.51 density_g_cm3=6.85 pbc="T T T"
Dy 2.7923 3.9670 2.1306
Y 2.7923 7.6066 2.4431
Sc 2.7923 5.9607 5.3535
Dy 2.7923 9.4448 5.4139
Dy 2.7923 0.3628 2.4883
Dy 2.7923 4.3634 8.5427
Dy 0.0000 0.3898 0.2081
Dy 0.0000 5.4712 3.3369
Sc 0.0000 3.8739 0.1477
Pm 0.0000 8.1337 4.7450
Y 2.7923 7.6434 8.4873
Dy 0.0000 9.4718 7.6942
Dy 0.0000 7.4363 0.2093
Pm 2.7923 1.7009 9.9508
Dy 0.0000 5.8676 7.3364
Dy 2.7923 2.3982 5.4151
Y 0.0000 2.1912 3.2815
Y 0.0000 2.2280 7.6489



(3)
7
Lattice="-2.0001 1.6445 -2.4667 -2.4890 -5.5902 0.8838 -3.6917 7.6648 8.1033" Properties=species:S:1:pos:R:3 comment="Pm2Pr2Dy2In (GGA-PBE, optimized geometry)" e_tot_ev_per_fu=-31.22 density_g_cm3=7.31 pbc="T T T"
Pm -2.5197 -0.1682 -0.6615
Pr -4.1805 -2.5932 1.6609
Dy -5.0491 3.2692 3.6811
Pm -5.6611 3.8873 7.1818
Dy -3.1317 0.4499 2.8392
In -1.8459 3.8324 4.0516
Pr -4.0003 6.3122 4.8594



(4)
4
Lattice="-5.4164 -4.6274 -2.9029 -3.0088 -6.8842 -1.6529 -5.3922 -5.4613 0.5258" Properties=species:S:1:pos:R:3 comment="ReS2Cl (GGA-PBE, optimized geometry)" raw_formation_energy_ev_per_atom=-0.03 e_tot_ev_per_fu=-22.66 e_above_lowest_polymorph_mev_per_atom=412 density_g_cm3=5.93 pbc="T T T"
S -1.5027 -1.8458 -0.4383
S -12.3148 -15.1270 -3.5917
Re -6.9087 -8.4864 -2.0150
Cl 0.0000 0.0000 0.0000



Per-record total moment, μB/cell: 8.8, 0.0, 0.0, 1.2